Density functional theory data (GGA+U) for a geometry-optimized Na2VS2O9 structure.

Computed properties:
calculated density	2.69	Mg/m³

a = 6.400 Å, b = 6.925 Å, c = 16.993 Å
α = 90.00°, β = 90.00°, γ = 90.00°
Fractional coordinates of all 56 atoms:
1 Na 0.271 0.626 0.920
2 Na 0.729 0.126 0.580
3 Na 0.136 0.902 0.744
4 Na 0.229 0.374 0.420
5 Na 0.864 0.402 0.756
6 Na 0.636 0.598 0.256
7 Na 0.364 0.098 0.244
8 Na 0.771 0.874 0.080
9 V 0.034 0.345 0.092
10 V 0.466 0.655 0.592
11 V 0.534 0.155 0.908
12 V 0.966 0.845 0.408
13 S 0.855 0.093 0.247
14 S 0.145 0.593 0.253
15 S 0.965 0.592 0.569
16 S 0.035 0.092 0.931
17 S 0.465 0.908 0.431
18 S 0.645 0.907 0.747
19 S 0.355 0.407 0.753
20 S 0.535 0.408 0.069
21 O 0.781 0.709 0.595
22 O 0.014 0.537 0.182
23 O 0.016 0.135 0.184
24 O 0.225 0.240 0.734
25 O 0.021 0.097 0.019
26 O 0.479 0.903 0.519
27 O 0.451 0.107 0.404
28 O 0.984 0.635 0.316
29 O 0.514 0.963 0.818
30 O 0.516 0.365 0.816
31 O 0.351 0.305 0.105
32 O 0.719 0.291 0.095
33 O 0.979 0.597 0.481
34 O 0.776 0.071 0.720
35 O 0.149 0.695 0.605
36 O 0.275 0.760 0.234
37 O 0.851 0.195 0.895
38 O 0.725 0.260 0.266
39 O 0.459 0.491 0.522
40 O 0.724 0.929 0.220
41 O 0.775 0.740 0.766
42 O 0.486 0.463 0.682
43 O 0.049 0.893 0.904
44 O 0.224 0.571 0.780
45 O 0.276 0.429 0.280
46 O 0.986 0.037 0.318
47 O 0.281 0.791 0.405
48 O 0.521 0.403 0.981
49 O 0.649 0.805 0.395
50 O 0.041 0.509 0.022
51 O 0.951 0.393 0.596
52 O 0.484 0.865 0.684
53 O 0.541 0.991 0.978
54 O 0.219 0.209 0.905
55 O 0.959 0.009 0.478
56 O 0.549 0.607 0.096


Density functional theory data (GGA+U) for a geometry-optimized NaV2S4O4 structure.

Computed properties:
calculated density	2.66	Mg/m³

a = 3.590 Å, b = 6.265 Å, c = 8.792 Å
α = 89.63°, β = 90.00°, γ = 90.00°
Fractional coordinates of all 11 atoms:
1 Na 0.000 0.500 0.500
2 V 0.000 0.000 0.000
3 V 0.500 0.500 0.000
4 S 0.500 0.836 0.144
5 S 0.000 0.329 0.150
6 S 0.500 0.164 0.856
7 S 0.000 0.671 0.850
8 O 0.500 0.163 0.672
9 O 0.000 0.196 0.633
10 O 0.500 0.837 0.328
11 O 0.000 0.804 0.367


no.,energy (eV per atom)
1,-6.21
2,-4.92